Compound: CsGaI2
Source: Alexandria
Functional: PBE
Structure: optimized geometry

a b c (Å): 4.331 4.331 8.841
angles (deg): 90.00 90.00 90.00
Element x y z (fractional)
Cs 0.000 0.000 0.000
Ga 0.000 0.000 0.500
I 0.500 0.500 0.277
I 0.500 0.500 0.723

For the polymorph energy (0 for the lowest one), the calculation gives 93 meV per atom. The space group is P4/mmm (123). For the magnetic moment, the calculation gives 0.00 μB per atom.

=====

Compound: Cs2GaI4
Source: Alexandria
Functional: PBE
Structure: optimized geometry

a b c (Å): 8.166 8.385 11.344
angles (deg): 90.00 109.93 90.00
Element x y z (fractional)
Cs 0.203 0.250 0.418
Cs 0.287 0.250 0.956
Cs 0.713 0.750 0.044
Cs 0.797 0.750 0.582
Ga 0.306 0.750 0.213
Ga 0.694 0.250 0.787
I 0.090 0.750 0.363
I 0.144 0.750 0.946
I 0.476 0.517 0.726
I 0.476 0.983 0.726
I 0.524 0.017 0.274
I 0.524 0.483 0.274
I 0.856 0.250 0.054
I 0.910 0.250 0.637

For the polymorph energy (0 for the lowest one), the calculation gives 17 meV per atom. The space group is P2_1/m (11). For the magnetic moment, the calculation gives 0.00 μB per atom.

=====

Compound: Cs3Ga2I8
Source: Alexandria
Functional: PBE
Structure: optimized geometry

a b c (Å): 11.929 11.929 11.929
angles (deg): 41.27 41.27 41.27
Element x y z (fractional)
Cs 0.000 0.000 0.000
Cs 0.211 0.211 0.211
Cs 0.789 0.789 0.789
Ga 0.411 0.411 0.411
Ga 0.589 0.589 0.589
I 0.212 0.740 0.740
I 0.260 0.260 0.788
I 0.260 0.788 0.260
I 0.329 0.329 0.329
I 0.671 0.671 0.671
I 0.740 0.212 0.740
I 0.740 0.740 0.212
I 0.788 0.260 0.260

Its total energy is -2.58 eV per atom. The space group is R-3m (166). For the magnetic moment, the calculation gives 0.00 μB per atom.

=====

Compound: Cs5Ga3I12
Source: Alexandria
Functional: PBE
Structure: optimized geometry

a b c (Å): 18.404 18.404 18.404
angles (deg): 109.47 109.47 109.47
Element x y z (fractional)
Cs 0.000 0.000 0.000
Cs 0.000 0.000 0.500
Cs 0.000 0.500 0.000
Cs 0.000 0.500 0.500
Cs 0.125 0.750 0.875
Cs 0.125 0.875 0.250
Cs 0.250 0.125 0.875
Cs 0.250 0.625 0.375
Cs 0.375 0.250 0.625
Cs 0.375 0.625 0.750
Cs 0.500 0.000 0.000
Cs 0.500 0.000 0.500
Cs 0.500 0.500 0.000
Cs 0.500 0.500 0.500
Cs 0.625 0.375 0.250
Cs 0.625 0.750 0.375
Cs 0.750 0.375 0.625
Cs 0.750 0.875 0.125
Cs 0.875 0.125 0.750
Cs 0.875 0.250 0.125
Ga 0.125 0.250 0.375
Ga 0.125 0.375 0.750
Ga 0.250 0.375 0.125
Ga 0.250 0.875 0.625
Ga 0.375 0.125 0.250
Ga 0.375 0.750 0.125
Ga 0.625 0.250 0.875
Ga 0.625 0.875 0.750
Ga 0.750 0.125 0.375
Ga 0.750 0.625 0.875
Ga 0.875 0.625 0.250
Ga 0.875 0.750 0.625
I 0.044 0.629 0.370
I 0.044 0.916 0.674
I 0.084 0.258 0.129
I 0.084 0.326 0.956
I 0.129 0.084 0.258
I 0.129 0.544 0.870
I 0.130 0.758 0.674
I 0.130 0.871 0.456
I 0.174 0.258 0.630
I 0.174 0.416 0.544
I 0.242 0.326 0.870
I 0.242 0.416 0.371
I 0.258 0.129 0.084
I 0.258 0.630 0.174
I 0.326 0.870 0.242
I 0.326 0.956 0.084
I 0.370 0.044 0.629
I 0.370 0.826 0.742
I 0.371 0.242 0.416
I 0.371 0.630 0.956
I 0.416 0.371 0.242
I 0.416 0.544 0.174
I 0.456 0.130 0.871
I 0.456 0.826 0.584
I 0.544 0.174 0.416
I 0.544 0.870 0.129
I 0.584 0.456 0.826
I 0.584 0.629 0.758
I 0.629 0.370 0.044
I 0.629 0.758 0.584
I 0.630 0.174 0.258
I 0.630 0.956 0.371
I 0.674 0.044 0.916
I 0.674 0.130 0.758
I 0.742 0.370 0.826
I 0.742 0.871 0.916
I 0.758 0.584 0.629
I 0.758 0.674 0.130
I 0.826 0.584 0.456
I 0.826 0.742 0.370
I 0.870 0.129 0.544
I 0.870 0.242 0.326
I 0.871 0.456 0.130
I 0.871 0.916 0.742
I 0.916 0.674 0.044
I 0.916 0.742 0.871
I 0.956 0.084 0.326
I 0.956 0.371 0.630

Its total energy is -2.26 eV per atom. The space group is Ia-3d (230). For the magnetic moment, the calculation gives 0.20 μB per atom.

=====

Compound: Cs3GaI
Source: Alexandria
Functional: PBE
Structure: optimized geometry

a b c (Å): 7.024 7.024 7.024
angles (deg): 90.00 90.00 90.00
Element x y z (fractional)
Cs 0.000 0.000 0.500
Cs 0.000 0.500 0.000
Cs 0.500 0.000 0.000
Ga 0.000 0.000 0.000
I 0.500 0.500 0.500

For the polymorph energy (0 for the lowest one), the calculation gives 0 meV per atom. The space group is Pm-3m (221). For the magnetic moment, the calculation gives 0.00 μB per atom.

=====

Compound: CsGaI2
Source: Alexandria
Functional: PBE
Structure: optimized geometry

a b c (Å): 6.204 6.204 6.204
angles (deg): 60.00 60.00 60.00
Element x y z (fractional)
Cs 0.000 0.000 0.000
Ga 0.500 0.500 0.500
I 0.250 0.250 0.250
I 0.750 0.750 0.750

For the polymorph energy (0 for the lowest one), the calculation gives 114 meV per atom. The space group is Fm-3m (225). For the magnetic moment, the calculation gives 0.00 μB per atom.

=====

Compound: CsGa3I8
Source: Alexandria
Functional: PBE
Structure: optimized geometry

a b c (Å): 7.617 7.617 11.588
angles (deg): 96.01 96.01 68.55
Element x y z (fractional)
Cs 0.000 0.000 0.000
Ga 0.000 0.000 0.500
Ga 0.399 0.399 0.724
Ga 0.601 0.601 0.276
I 0.233 0.718 0.280
I 0.262 0.262 0.539
I 0.282 0.767 0.720
I 0.318 0.318 0.918
I 0.682 0.682 0.082
I 0.718 0.233 0.280
I 0.738 0.738 0.461
I 0.767 0.282 0.720

Its total energy is -2.52 eV per atom. The space group is C2/m (12). For the magnetic moment, the calculation gives 0.00 μB per atom.

=====

Compound: Cs5GaI6
Source: Alexandria
Functional: PBE
Structure: optimized geometry

a b c (Å): 9.390 9.390 9.377
angles (deg): 99.69 99.69 119.97
Element x y z (fractional)
Cs 0.000 0.000 0.000
Cs 0.166 0.834 0.500
Cs 0.329 0.671 0.000
Cs 0.671 0.329 0.000
Cs 0.834 0.166 0.500
Ga 0.500 0.500 0.500
I 0.115 0.422 0.266
I 0.274 0.274 0.733
I 0.422 0.115 0.266
I 0.578 0.885 0.734
I 0.726 0.726 0.267
I 0.885 0.578 0.734

Its total energy is -2.71 eV per atom. The space group is C2/m (12). For the magnetic moment, the calculation gives 0.00 μB per atom.